1.
This record from the Alexandria database describes a geometry-optimized HfPdPtAu2 structure. The functional is PBE.

abc: 5.060 5.060 4.790
angles: 90.00 90.00 90.00
Fractional positions:
Hf (0.000, 0.000, 0.000)
Pd (0.000, 0.000, 0.500)
Pt (0.500, 0.500, 0.500)
Au (0.000, 0.500, 0.000)
Au (0.500, 0.000, 0.000)

Results
Its density of states at the Fermi level is 4.3 states/eV/cell. For the total DFT energy (no corrections), the calculation gives -22.4 eV/cell. The symmetry is P4/mmm, No. 123. As for the energy of formation from the pure elements: 1065 meV per atom. Its magnetic moment is 0.00 μB/f.u.

***

2.
This record from the Alexandria database describes a geometry-optimized HfPd2PtAu structure. The functional is PBE.

abc: 6.511 4.219 6.794
angles: 90.00 104.73 90.00
Fractional positions:
Hf (0.121, 0.250, 0.217)
Hf (0.879, 0.750, 0.783)
Pd (0.153, 0.750, 0.519)
Pd (0.455, 0.250, 0.599)
Pd (0.545, 0.750, 0.401)
Pd (0.847, 0.250, 0.481)
Pt (0.151, 0.250, 0.830)
Pt (0.849, 0.750, 0.170)
Au (0.475, 0.750, 0.863)
Au (0.525, 0.250, 0.137)

Results
Its density of states at the Fermi level is 3.3 states/eV/cell. For the total DFT energy (no corrections), the calculation gives -64.8 eV/cell. The symmetry is P2_1/m, No. 11. As for the energy of formation from the pure elements: -545 meV per atom. Its magnetic moment is 0.00 μB/f.u.

***

3.
This record from the Alexandria database describes a geometry-optimized Hf2PdPtAu2 structure. The functional is PBE.

abc: 7.975 7.975 7.975
angles: 138.00 60.85 138.07
Fractional positions:
Hf (0.150, 0.240, 0.389)
Hf (0.350, 0.740, 0.090)
Hf (0.650, 0.260, 0.910)
Hf (0.850, 0.760, 0.611)
Pd (0.250, 0.750, 0.500)
Pd (0.750, 0.250, 0.500)
Pt (0.250, 0.250, 0.000)
Pt (0.750, 0.750, 0.000)
Au (0.149, 0.740, 0.889)
Au (0.351, 0.240, 0.590)
Au (0.649, 0.760, 0.410)
Au (0.851, 0.260, 0.111)

Results
Its density of states at the Fermi level is 7.1 states/eV/cell. For the total DFT energy (no corrections), the calculation gives -83.0 eV/cell. The symmetry is Ibam, No. 72. As for the energy of formation from the pure elements: -632 meV per atom. Its magnetic moment is 0.00 μB/f.u.

***

4.
This record from the Alexandria database describes a geometry-optimized HfSbPdAu structure. The functional is PBE.

abc: 4.783 4.783 4.783
angles: 60.00 60.00 60.00
Fractional positions:
Hf (0.000, 0.000, 0.000)
Sb (0.750, 0.750, 0.750)
Pd (0.500, 0.500, 0.500)
Au (0.250, 0.250, 0.250)

Results
Its density of states at the Fermi level is 1.6 states/eV/cell. For the total DFT energy (no corrections), the calculation gives -24.1 eV/cell. The symmetry is F-43m, No. 216. Its magnetic moment is 0.00 μB/f.u.

***

5.
This record from the Alexandria database describes a geometry-optimized HfSiPd2Au structure. The functional is PBE.

abc: 4.971 4.971 4.409
angles: 90.00 90.00 90.00
Fractional positions:
Hf (0.000, 0.000, 0.000)
Si (0.500, 0.500, 0.000)
Pd (0.000, 0.500, 0.500)
Pd (0.500, 0.000, 0.500)
Au (0.500, 0.500, 0.500)

Results
Its density of states at the Fermi level is 3.7 states/eV/cell. For the total DFT energy (no corrections), the calculation gives -25.7 eV/cell. The symmetry is P4/mmm, No. 123. Its magnetic moment is 0.00 μB/f.u.

***

6.
This record from the Alexandria database describes a geometry-optimized HfThPdAu structure. The functional is PBE.

abc: 5.008 5.008 5.008
angles: 60.00 60.00 60.00
Fractional positions:
Hf (0.000, 0.000, 0.000)
Th (0.500, 0.500, 0.500)
Pd (0.250, 0.250, 0.250)
Au (0.750, 0.750, 0.750)

Results
Its density of states at the Fermi level is 5.1 states/eV/cell. For the total DFT energy (no corrections), the calculation gives -27.7 eV/cell. The symmetry is F-43m, No. 216. As for the energy of formation from the pure elements: -453 meV per atom. Its magnetic moment is 0.00 μB/f.u.

***

7.
This record from the Alexandria database describes a geometry-optimized HfTiPdAu structure. The functional is PBE.

abc: 4.668 4.668 4.668
angles: 60.00 60.00 60.00
Fractional positions:
Hf (0.000, 0.000, 0.000)
Ti (0.500, 0.500, 0.500)
Pd (0.250, 0.250, 0.250)
Au (0.750, 0.750, 0.750)

Results
The energy above the most stable polymorph in this dataset is 115 meV/atom. Its density of states at the Fermi level is 5.9 states/eV/cell. For the total DFT energy (no corrections), the calculation gives -28.1 eV/cell. The symmetry is F-43m, No. 216. As for the energy of formation from the pure elements: -438 meV per atom. Its magnetic moment is 1.05 μB/f.u.

***

8.
This record from the Alexandria database describes a geometry-optimized HfTiPdAu structure. The functional is PBE.

abc: 3.375 3.375 6.233
angles: 90.00 90.00 90.00
Fractional positions:
Hf (0.000, 0.000, 0.000)
Ti (0.500, 0.500, 0.290)
Pd (0.500, 0.500, 0.774)
Au (0.000, 0.000, 0.507)

Results
The energy above the most stable polymorph in this dataset is 0 meV/atom. Its density of states at the Fermi level is 1.8 states/eV/cell. For the total DFT energy (no corrections), the calculation gives -28.5 eV/cell. The symmetry is P4mm, No. 99. As for the energy of formation from the pure elements: -553 meV per atom. Its magnetic moment is 0.00 μB/f.u.

***

9.
This record from the Alexandria database describes a geometry-optimized HfTlPdAu2 structure. The functional is PBE.

abc: 5.129 5.129 5.625
angles: 90.00 90.00 90.00
Fractional positions:
Hf (0.000, 0.000, 0.000)
Tl (0.000, 0.000, 0.500)
Pd (0.500, 0.500, 0.500)
Au (0.000, 0.500, 0.000)
Au (0.500, 0.000, 0.000)

Results
Its density of states at the Fermi level is 3.3 states/eV/cell. For the total DFT energy (no corrections), the calculation gives -19.8 eV/cell. The symmetry is P4/mmm, No. 123. As for the energy of formation from the pure elements: 854 meV per atom. Its magnetic moment is 0.00 μB/f.u.

***

10.
This record from the Alexandria database describes a geometry-optimized TmHfPdAu structure. The functional is PBE.

abc: 4.854 4.854 4.854
angles: 60.00 60.00 60.00
Fractional positions:
Tm (0.000, 0.000, 0.000)
Hf (0.500, 0.500, 0.500)
Pd (0.750, 0.750, 0.750)
Au (0.250, 0.250, 0.250)

Results
Its density of states at the Fermi level is 1.9 states/eV/cell. For the total DFT energy (no corrections), the calculation gives -25.6 eV/cell. The symmetry is F-43m, No. 216. As for the energy of formation from the pure elements: -664 meV per atom. Its magnetic moment is 0.00 μB/f.u.